[1]
CaMnBi2: relaxed, PBE-GGA.

Cell: 7.6391 7.6391 7.6391 Å, 32.46 32.46 32.46°
Fractional coordinates of all 4 atoms:
Ca  0.0000  0.0000  0.0000
Mn  0.5000  0.5000  0.5000
Bi  0.2327  0.2327  0.2327
Bi  0.7673  0.7673  0.7673

VASP energy, eV for the cell shown: -19.61
Energy of formation from the pure elements, eV/atom: -0.169
Space group: R-3m
D(E_F), states/eV/cell: 1.9

[2]
SrCo3Cl: relaxed, PBE-GGA.

Cell: 5.0429 5.0429 5.0429 Å, 90.00 90.00 90.00°
Fractional coordinates of all 5 atoms:
Sr  0.0000  0.0000  0.0000
Co  0.0000  0.0000  0.5000
Co  0.0000  0.5000  0.0000
Co  0.5000  0.0000  0.0000
Cl  0.5000  0.5000  0.5000

VASP energy, eV for the cell shown: -14.38
Space group: Pm-3m
ΔE to the lowest computed polymorph, meV per atom: 1457
D(E_F), states/eV/cell: 10.8
ΔE_f (raw), eV/atom: 2.0940